VIrF3 | GGA+U | optimized geometry

Crystal system = cubic
Polymorph energy (0 for the lowest one) = 558 meV per atom

Lattice parameters (Å, degrees): 4.2759 4.2759 4.2759 90.00 90.00 90.00
With the nearest neighbours (Å) after each atom.
Positions (direct):
V 0.0000 0.0000 0.0000  12 F 3.02
Ir 0.5000 0.5000 0.5000  6 F 2.14
F 0.0000 0.5000 0.5000  2 Ir 2.14
F 0.5000 0.0000 0.5000  2 Ir 2.14
F 0.5000 0.5000 0.0000  2 Ir 2.14